Computed, not measured: crystalline LiV3O8 at its relaxed geometry at the GGA+U level of DFT.

## Properties
**Space-group type**: Pm, No. 6
**DOS(E_F)**: 0.0 states/eV/cell
**E_tot**: -7.18 eV per atom

Cell: 6.8934 3.6478 12.0652 Å, 90.00 104.17 90.00°
Fractional positions:
Li (0.0000, 0.0000, 0.0000)
Li (0.3381, 0.5000, 0.2728)
V (0.2019, 0.0000, 0.4859)
V (0.2631, 0.0000, 0.7514)
V (0.4070, 0.0000, 0.0305)
V (0.6473, 0.5000, 0.8690)
V (0.7829, 0.5000, 0.1499)
V (0.8235, 0.5000, 0.4127)
O (0.0150, 0.5000, 0.2268)
O (0.0315, 0.0000, 0.6834)
O (0.1191, 0.5000, 0.4912)
O (0.2066, 0.0000, 0.9088)
O (0.2820, 0.0000, 0.1324)
O (0.3274, 0.0000, 0.3858)
O (0.3472, 0.5000, 0.7792)
O (0.3733, 0.0000, 0.6215)
O (0.4819, 0.5000, 0.0283)
O (0.5804, 0.0000, 0.8844)
O (0.6488, 0.5000, 0.2727)
O (0.6855, 0.5000, 0.5017)
O (0.7118, 0.0000, 0.1237)
O (0.7666, 0.5000, 0.7708)
O (0.8563, 0.5000, 0.0008)
O (0.9095, 0.0000, 0.4092)